1.
# InCo2Se3, optimized geometry, DFT PBE
# - calculated total energy (eV per atom) = -4.731
data_InCo2Se3
_space_group_name_H-M_alt 'C 1 c 1'
_space_group_IT_number 9
_cell_length_a 6.961
_cell_length_b 12.043
_cell_length_c 6.850
_cell_angle_alpha 90.00
_cell_angle_beta 109.14
_cell_angle_gamma 90.00
loop_
_space_group_symop_operation_xyz
'x,y,z'
'x,-y,z+1/2'
'x+1/2,y+1/2,z'
'x+1/2,-y+1/2,z+1/2'
loop_
_atom_site_label
_atom_site_type_symbol
_atom_site_fract_x
_atom_site_fract_y
_atom_site_fract_z
_atom_site_occupancy
In1 In 0.000 0.091 0.000 1
Co1 Co 0.004 0.255 0.512 1
Co2 Co 0.014 0.419 0.013 1
Se1 Se 0.095 0.418 0.374 1
Se2 Se 0.149 0.271 0.876 1
Se3 Se 0.157 0.100 0.414 1

2.
# SmInCoSe3, optimized geometry, DFT PBE
# - calculated total energy (eV per atom) = -5.003
data_SmInCoSe3
_space_group_name_H-M_alt 'C m c m'
_space_group_IT_number 63
_space_group_name_Hall '-C 2c 2'
_cell_length_a 4.017
_cell_length_b 14.352
_cell_length_c 10.894
_cell_angle_alpha 90.00
_cell_angle_beta 90.00
_cell_angle_gamma 90.00
loop_
_atom_site_label
_atom_site_type_symbol
_atom_site_fract_x
_atom_site_fract_y
_atom_site_fract_z
_atom_site_occupancy
Sm1 Sm 0.000 0.000 0.000 1
In1 In 0.000 0.246 0.250 1
Co1 Co 0.000 0.475 0.750 1
Se1 Se 0.000 0.073 0.750 1
Se2 Se 0.000 0.367 0.581 1

3.
# TlInCo2Se4, optimized geometry, DFT PBE
# - calculated total energy (eV per atom) = -4.358
data_TlInCo2Se4
_space_group_name_H-M_alt 'I -4'
_space_group_IT_number 82
_cell_length_a 6.070
_cell_length_b 6.070
_cell_length_c 11.003
_cell_angle_alpha 90.00
_cell_angle_beta 90.00
_cell_angle_gamma 90.00
loop_
_space_group_symop_operation_xyz
'x,y,z'
'y,-x,-z'
'-x,-y,z'
'-y,x,-z'
'x+1/2,y+1/2,z+1/2'
'y+1/2,-x+1/2,-z+1/2'
'-x+1/2,-y+1/2,z+1/2'
'-y+1/2,x+1/2,-z+1/2'
loop_
_atom_site_label
_atom_site_type_symbol
_atom_site_fract_x
_atom_site_fract_y
_atom_site_fract_z
_atom_site_occupancy
Tl1 Tl 0.000 0.000 0.000 1
In1 In 0.000 0.500 0.250 1
Co1 Co 0.000 0.000 0.500 1
Co2 Co 0.000 0.500 0.750 1
Se1 Se 0.163 0.241 0.630 1

4.
# ZrInCoSe3, optimized geometry, DFT PBE
# - calculated total energy (eV per atom) = -5.559
data_ZrInCoSe3
_space_group_name_H-M_alt 'C m c m'
_space_group_IT_number 63
_space_group_name_Hall '-C 2c 2'
_cell_length_a 3.731
_cell_length_b 14.616
_cell_length_c 10.012
_cell_angle_alpha 90.00
_cell_angle_beta 90.00
_cell_angle_gamma 90.00
loop_
_atom_site_label
_atom_site_type_symbol
_atom_site_fract_x
_atom_site_fract_y
_atom_site_fract_z
_atom_site_occupancy
Zr1 Zr 0.000 0.000 0.000 1
In1 In 0.000 0.246 0.250 1
Co1 Co 0.000 0.468 0.750 1
Se1 Se 0.000 0.071 0.750 1
Se2 Se 0.000 0.370 0.559 1

5.
# InCo3Si5, optimized geometry, DFT PBE
# - calculated total energy (eV per atom) = -5.803
data_InCo3Si5
_space_group_name_H-M_alt 'P 6/m m m'
_space_group_IT_number 191
_space_group_name_Hall '-P 6 2'
_cell_length_a 4.9385
_cell_length_b 4.9385
_cell_length_c 5.9824
_cell_angle_alpha 90.00
_cell_angle_beta 90.00
_cell_angle_gamma 120.00
loop_
_atom_site_label
_atom_site_type_symbol
_atom_site_fract_x
_atom_site_fract_y
_atom_site_fract_z
_atom_site_occupancy
In1 In 0.0000 0.0000 0.0000 1
Co1 Co 0.0000 0.5000 0.5000 1
Si1 Si 0.0000 0.0000 0.5000 1
Si2 Si 0.3333 0.6667 0.1980 1

6.
# InCoSi2, optimized geometry, DFT PBE
# - calculated total energy (eV per atom) = -4.662
data_InCoSi2
_space_group_name_H-M_alt 'F -4 3 m'
_space_group_IT_number 216
_space_group_name_Hall 'F -4 2 3'
_cell_length_a 6.280
_cell_length_b 6.280
_cell_length_c 6.280
_cell_angle_alpha 90.00
_cell_angle_beta 90.00
_cell_angle_gamma 90.00
loop_
_atom_site_label
_atom_site_type_symbol
_atom_site_fract_x
_atom_site_fract_y
_atom_site_fract_z
_atom_site_occupancy
In1 In 0.000 0.000 0.000 1
Co1 Co 0.250 0.250 0.250 1
Si1 Si 0.000 0.000 0.500 1
Si2 Si 0.250 0.250 0.750 1

7.
# Tm4InCo2Si4, optimized geometry, DFT PBE
# - calculated total energy (eV per atom) = -5.898
data_Tm4InCo2Si4
_space_group_name_H-M_alt 'C 1 2/m 1'
_space_group_IT_number 12
_cell_length_a 15.023
_cell_length_b 4.116
_cell_length_c 6.841
_cell_angle_alpha 90.00
_cell_angle_beta 107.93
_cell_angle_gamma 90.00
loop_
_space_group_symop_operation_xyz
'x,y,z'
'-x,-y,-z'
'-x,y,-z'
'x,-y,z'
'x+1/2,y+1/2,z'
'-x+1/2,-y+1/2,-z'
'-x+1/2,y+1/2,-z'
'x+1/2,-y+1/2,z'
loop_
_atom_site_label
_atom_site_type_symbol
_atom_site_fract_x
_atom_site_fract_y
_atom_site_fract_z
_atom_site_occupancy
Tm1 Tm 0.088 0.000 0.386 1
Tm2 Tm 0.155 0.000 0.940 1
In1 In 0.000 0.500 0.000 1
Co1 Co 0.220 0.500 0.626 1
Si1 Si 0.067 0.500 0.653 1
Si2 Si 0.208 0.500 0.274 1

8.
# Tb2SmIn3Co3, optimized geometry, DFT PBE
# - calculated total energy (eV per atom) = -5.115
data_Tb2SmIn3Co3
_space_group_name_H-M_alt 'A m m 2'
_space_group_IT_number 38
_cell_length_a 3.879
_cell_length_b 12.813
_cell_length_c 7.407
_cell_angle_alpha 90.00
_cell_angle_beta 90.00
_cell_angle_gamma 90.00
loop_
_space_group_symop_operation_xyz
'x,y,z'
'-x,-y,z'
'-x,y,z'
'x,-y,z'
'x,y+1/2,z+1/2'
'-x,-y+1/2,z+1/2'
'-x,y+1/2,z+1/2'
'x,-y+1/2,z+1/2'
loop_
_atom_site_label
_atom_site_type_symbol
_atom_site_fract_x
_atom_site_fract_y
_atom_site_fract_z
_atom_site_occupancy
Tb1 Tb 0.000 0.205 0.000 1
Sm1 Sm 0.000 0.000 0.384 1
In1 In 0.500 0.000 0.045 1
In2 In 0.500 0.127 0.670 1
Co1 Co 0.000 0.000 0.796 1
Co2 Co 0.500 0.168 0.295 1

9.
# SmYInCo2, optimized geometry, DFT PBE
# - calculated total energy (eV per atom) = -5.932
data_SmYInCo2
_space_group_name_H-M_alt 'A m m 2'
_space_group_IT_number 38
_cell_length_a 3.954
_cell_length_b 3.829
_cell_length_c 13.854
_cell_angle_alpha 90.00
_cell_angle_beta 90.00
_cell_angle_gamma 90.00
loop_
_space_group_symop_operation_xyz
'x,y,z'
'-x,-y,z'
'-x,y,z'
'x,-y,z'
'x,y+1/2,z+1/2'
'-x,-y+1/2,z+1/2'
'-x,y+1/2,z+1/2'
'x,-y+1/2,z+1/2'
loop_
_atom_site_label
_atom_site_type_symbol
_atom_site_fract_x
_atom_site_fract_y
_atom_site_fract_z
_atom_site_occupancy
Sm1 Sm 0.000 0.000 0.000 1
Y1 Y 0.000 0.000 0.277 1
In1 In 0.500 0.000 0.641 1
Co1 Co 0.500 0.000 0.430 1
Co2 Co 0.500 0.000 0.845 1

10.
# SmY2In3Co3, optimized geometry, DFT PBE
# - calculated total energy (eV per atom) = -5.523
data_SmY2In3Co3
_space_group_name_H-M_alt 'A m m 2'
_space_group_IT_number 38
_cell_length_a 3.863
_cell_length_b 12.741
_cell_length_c 7.401
_cell_angle_alpha 90.00
_cell_angle_beta 90.00
_cell_angle_gamma 90.00
loop_
_space_group_symop_operation_xyz
'x,y,z'
'-x,-y,z'
'-x,y,z'
'x,-y,z'
'x,y+1/2,z+1/2'
'-x,-y+1/2,z+1/2'
'-x,y+1/2,z+1/2'
'x,-y+1/2,z+1/2'
loop_
_atom_site_label
_atom_site_type_symbol
_atom_site_fract_x
_atom_site_fract_y
_atom_site_fract_z
_atom_site_occupancy
Sm1 Sm 0.000 0.000 0.000 1
Y1 Y 0.000 0.204 0.616 1
In1 In 0.500 0.000 0.662 1
In2 In 0.500 0.128 0.287 1
Co1 Co 0.000 0.000 0.412 1
Co2 Co 0.500 0.167 0.912 1

11.
# In2CoSn, optimized geometry, DFT PBE
# - calculated total energy (eV per atom) = -3.697
data_In2CoSn
_space_group_name_H-M_alt 'F -4 3 m'
_space_group_IT_number 216
_space_group_name_Hall 'F -4 2 3'
_cell_length_a 6.944
_cell_length_b 6.944
_cell_length_c 6.944
_cell_angle_alpha 90.00
_cell_angle_beta 90.00
_cell_angle_gamma 90.00
loop_
_atom_site_label
_atom_site_type_symbol
_atom_site_fract_x
_atom_site_fract_y
_atom_site_fract_z
_atom_site_occupancy
In1 In 0.000 0.000 0.000 1
In2 In 0.250 0.250 0.250 1
Co1 Co 0.250 0.250 0.750 1
Sn1 Sn 0.000 0.000 0.500 1

12.
# InCo3Sn5, optimized geometry, DFT PBE
# - calculated total energy (eV per atom) = -4.894
data_InCo3Sn5
_space_group_name_H-M_alt 'P 6/m m m'
_space_group_IT_number 191
_space_group_name_Hall '-P 6 2'
_cell_length_a 5.2461
_cell_length_b 5.2461
_cell_length_c 7.8658
_cell_angle_alpha 90.00
_cell_angle_beta 90.00
_cell_angle_gamma 120.00
loop_
_atom_site_label
_atom_site_type_symbol
_atom_site_fract_x
_atom_site_fract_y
_atom_site_fract_z
_atom_site_occupancy
In1 In 0.0000 0.0000 0.0000 1
Co1 Co 0.0000 0.5000 0.5000 1
Sn1 Sn 0.0000 0.0000 0.5000 1
Sn2 Sn 0.3333 0.6667 0.2250 1

We obtain total moment values of 3.746, 2.517, 0.000, 1.799, 0.001, 0.001, 0.549, 0.019, 0.284, 0.003, 1.050, 0.009 μB/f.u. for the records listed above, in that order.